Density functional theory data (PBE) for a relaxed structure of Mo2RhBr.

abc: 4.9712 4.9712 4.9712
angles: 132.92 132.92 68.79
With the nearest neighbours (Å) after each atom.
Sites, in units of the cell vectors:
Mo (0.2500, 0.7500, 0.5000)  4 Br 2.81, 4 Rh 2.85, 4 Mo 2.85
Br (0.7500, 0.2500, 0.5000)  8 Mo 2.81-2.85, 4 Rh 2.85
Rh (0.5000, 0.5000, 0.0000)  8 Mo 2.81-2.85, 4 Br 2.85
Mo (0.0000, 0.0000, 0.0000)  4 Rh 2.81, 4 Br 2.85, 4 Mo 2.85

Distance to the lowest polymorph of the same formula (meV per atom): 623.7
ΔE_f (raw) (eV per formula unit): 3.59
Magnetic moment (μB per cell): 0.44



Density functional theory data (PBE) for a relaxed structure of Mo2RhBr.

abc: 5.2564 5.2564 5.2564
angles: 137.65 137.65 61.43
With the nearest neighbours (Å) after each atom.
Sites, in units of the cell vectors:
Mo (0.0000, 0.0000, 0.0000)  4 Mo 2.68, 4 Rh 2.95, 4 Br 2.95
Rh (0.2500, 0.7500, 0.5000)  4 Br 2.68, 8 Mo 2.95
Br (0.7500, 0.2500, 0.5000)  4 Rh 2.68, 8 Mo 2.95
Mo (0.5000, 0.5000, 0.0000)  4 Mo 2.68, 4 Br 2.95, 4 Rh 2.95

Distance to the lowest polymorph of the same formula (meV per atom): 553.1
ΔE_f (raw) (eV per formula unit): 3.30
Magnetic moment (μB per cell): 0.00